A plane-wave DFT calculation with GGA+U was carried out for a relaxed LiCrAgF6 crystal.

Computed properties:
- M_tot: 0.222 μB/atom
- Final energy: -4.862 eV/atom
- Volume: 12.55 Å³/atom
- Density: 4.13 g/cm³

Cell: 5.209 5.209 9.615 Å, 90.00 90.00 120.00°
Last column: magnetic moment on the atom in μB.
Fractional coordinates of all 18 atoms:
Li 0.667 0.333 0.750  0.00
F 0.017 0.370 0.639  -0.06
F 0.647 0.017 0.361  -0.06
F 0.983 0.353 0.139  -0.06
F 0.353 0.370 0.861  -0.06
Ag 0.000 0.000 0.000  -0.47
F 0.983 0.630 0.361  -0.06
F 0.647 0.630 0.139  -0.06
Li 0.333 0.667 0.250  0.00
F 0.353 0.983 0.639  -0.06
F 0.630 0.647 0.639  -0.06
F 0.370 0.353 0.361  -0.06
Ag 0.000 0.000 0.500  -0.47
F 0.370 0.017 0.139  -0.06
Cr 0.667 0.333 0.250  2.77
Cr 0.333 0.667 0.750  2.77
F 0.017 0.647 0.861  -0.06
F 0.630 0.983 0.861  -0.06